Computed, not measured: a geometry-optimized V2NiAgO6 structure at the PBE+U level of DFT.

a = 11.527 Å, b = 9.555 Å, c = 5.935 Å
α = 90.00°, β = 114.61°, γ = 90.00°
Space group C2/c (No. 15)
Asymmetric unit:
V1 0.192 0.096 0.201 [8 per cell]
Ni1 0.000 0.311 0.750 [4 per cell]
Ag1 0.000 0.407 0.250 [4 per cell]
O1 0.112 0.249 0.098 [8 per cell]
O2 0.147 0.375 0.675 [8 per cell]
O3 0.152 0.021 0.440 [8 per cell]

Output
- ρ: 4.073 g/cm³
- Final energy: -6.363 eV/atom
- Total magnetic moment: 1.00 μB per formula unit